Density functional theory data (PBE) for ErVPb after structural relaxation.

```
6
Lattice="4.2078 0.1682 -0.0861 0.1478 4.2086 -0.0861 -2.0117 -2.0216 8.3279" Properties=species:S:1:pos:R:3 pbc="T T T"
Er 1.2342 1.2402 7.1433
Er 1.1096 1.1150 1.0124
Pb -0.9706 -0.9753 6.0242
Pb 3.3144 3.3305 2.1316
V 0.5214 0.5239 4.1058
V 1.8224 1.8313 4.0500
```

Properties
energy relative to the elements: 0.251 eV/atom
E: -5.546 eV per atom
M_tot: 0.01 Bohr magnetons per cell
symmetry: Fmmm